Material: PmPuTc4
Method: DFT, GGA-PBE
State: optimized geometry

Geometry as CIF:
```
data_PmPuTc4
_chemical_formula_sum 'Pm1 Pu1 Tc4'
_cell_length_a 5.424
_cell_length_b 5.424
_cell_length_c 5.424
_cell_angle_alpha 60.00
_cell_angle_beta 60.00
_cell_angle_gamma 60.00
_symmetry_space_group_name_H-M 'P 1'
_symmetry_Int_Tables_number 1
loop_
_symmetry_equiv_pos_as_xyz
'x,y,z'
loop_
_atom_site_label
_atom_site_fract_x
_atom_site_fract_y
_atom_site_fract_z
Pu1 0.000 0.000 0.000
Pm1 0.250 0.250 0.250
Tc1 0.625 0.625 0.125
Tc2 0.625 0.625 0.625
Tc3 0.125 0.625 0.625
Tc4 0.625 0.125 0.625
```

Results
Crystal system ... cubic
DOS at the Fermi energy ... 12.38 states/eV/f.u.
Symmetry ... F-43m
Final energy ... -10.050 eV/atom